## NpPt3 (PBE)

Data for an optimized crystal structure of NpPt3.

a = 5.8388 Å, b = 5.8388 Å, c = 9.6523 Å
α = 90.00°, β = 90.00°, γ = 120.00°
Sites, in units of the cell vectors:
Np 0.0000 0.0000 0.0000
Np 0.0000 0.0000 0.5000
Np 0.3333 0.6667 0.2500
Np 0.6667 0.3333 0.7500
Pt 0.0000 0.5000 0.0000
Pt 0.0000 0.5000 0.5000
Pt 0.1706 0.3412 0.7500
Pt 0.1706 0.8294 0.7500
Pt 0.3412 0.1706 0.2500
Pt 0.5000 0.0000 0.0000
Pt 0.5000 0.0000 0.5000
Pt 0.5000 0.5000 0.0000
Pt 0.5000 0.5000 0.5000
Pt 0.6588 0.8294 0.7500
Pt 0.8294 0.1706 0.2500
Pt 0.8294 0.6588 0.2500

## Properties
The value obtained for the total energy is -8.1802 eV/atom. For the theoretical density, the calculation gives 19.2 g/cm³. Its magnetization is 0.048 Bohr magnetons per cell. The calculation puts the formation enthalpy at 0 K at -0.45 eV per atom.